A plane-wave DFT calculation with PBE with a Hubbard U was carried out for LiErCoO3 after structural relaxation.

Properties
total energy	-6.306	eV/atom
SG	Cmcm
V	165	Å³ per cell

Cell: 3.239 5.390 9.884 Å, 90.00 90.00 72.51°
Last column: magnetic moment on the atom in μB.
Fractional coordinates of all 12 atoms:
1 O 0.395 0.210 0.599  0.05
2 O 0.343 0.313 0.250  0.11
3 O 0.657 0.687 0.750  0.11
4 O 0.395 0.210 0.901  0.05
5 O 0.605 0.790 0.099  0.05
6 O 0.605 0.790 0.401  0.05
7 Er 0.000 0.000 0.000  0.04
8 Er 0.000 0.000 0.500  0.04
9 Li 0.491 0.019 0.750  0.01
10 Li 0.509 0.981 0.250  0.01
11 Co 0.739 0.522 0.250  2.65
12 Co 0.261 0.478 0.750  2.65